(1)
Compound: YCu4Ge
Source: the Alexandria database
Functional: PBE
Structure: optimized geometry

abc: 7.1817 7.1817 7.1817
angles: 90.00 90.00 90.00
Closest atoms and distances in Å follow each position.
Space group F-43m (No. 216)
Symmetry-distinct sites (fractional):
Y: 0.0000 0.0000 0.0000 (multiplicity 4)  12 Cu 2.98, 4 Ge 3.11
Cu: 0.1248 0.1248 0.3752 (multiplicity 16)  6 Cu 2.53-2.54
Ge: 0.2500 0.2500 0.7500 (multiplicity 4)  12 Cu 2.98, 4 Y 3.11

formation enthalpy at 0 K: -0.168 eV/atom


(2)
Compound: ScSbTe2C
Source: the Alexandria database
Functional: PBE
Structure: optimized geometry

abc: 4.7908 4.7908 4.7838
angles: 90.00 90.00 90.00
Closest atoms and distances in Å follow each position.
Space group P4/mmm (No. 123)
Symmetry-distinct sites (fractional):
Sc: 0.0000 0.0000 0.0000 (multiplicity 1)  8 Te 3.39, 4 Sb 3.39
Sb: 0.5000 0.5000 0.0000 (multiplicity 1)  2 C 2.39
Te: 0.0000 0.5000 0.5000 (multiplicity 2)  2 C 2.40
C: 0.5000 0.5000 0.5000 (multiplicity 1)  2 Sb 2.39, 4 Te 2.40

distance to the lowest polymorph of the same formula: 0 meV/atom
ΔE_f (raw): 0.55 eV/atom


(3)
Compound: Li2CrBr
Source: the Alexandria database
Functional: PBE
Structure: optimized geometry

abc: 7.0467 7.0467 7.0467
angles: 90.00 90.00 90.00
Closest atoms and distances in Å follow each position.
Space group Fm-3m (No. 225)
Symmetry-distinct sites (fractional):
Li: 0.2500 0.2500 0.2500 (multiplicity 8)  4 Cr 3.05, 4 Br 3.05
Cr: 0.0000 0.0000 0.0000 (multiplicity 4)  8 Li 3.05
Br: 0.0000 0.0000 0.5000 (multiplicity 4)  8 Li 3.05

distance to the lowest polymorph of the same formula: 312 meV/atom
ΔE_f (raw): 0.18 eV/atom


(4)
Compound: MgTaPt2
Source: the Alexandria database
Functional: PBE
Structure: optimized geometry

abc: 2.8374 4.7420 4.8808
angles: 90.00 90.00 90.00
Closest atoms and distances in Å follow each position.
Space group Pmm2 (No. 25)
Symmetry-distinct sites (fractional):
Mg: 0.0000 0.0000 0.0000 (multiplicity 1)  8 Pt 2.75-2.89, 2 Mg 2.84
Ta: 0.0000 0.5000 0.4136 (multiplicity 1)  8 Pt 2.79-2.85, 2 Ta 2.84, 2 Mg 3.11
Pt: 0.5000 0.0000 0.5167 (multiplicity 1)  4 Mg 2.75-2.89, 4 Ta 2.81, 2 Pt 2.84
Pt: 0.5000 0.5000 0.9208 (multiplicity 1)  4 Mg 2.79, 4 Ta 2.79-2.85, 4 Pt 2.84-3.08

formation enthalpy at 0 K: -0.729 eV/atom